<1>
{"formula": "PuPaAl", "functional": "PBE", "state": "optimized geometry", "lattice": [[-0.981, 2.459, -1.302], [-2.711, -2.745, -3.144], [-1.963, 1.504, 4.319]], "species": ["Pa", "Al", "Pu"], "frac_coords": [[0.167, 0.333, 0.667], [0.667, 0.667, 0.333], [0.167, 0.000, 0.000]], "sg": "P-6m2", "n_ef_per_ev_atom": 2.032, "magnetic_moment_mub_per_cell": 5.01}

---

<2>
{"formula": "PuPaAl", "functional": "PBE", "state": "optimized geometry", "lattice": [[4.301, 0.000, -0.001], [2.150, 3.725, 0.022], [2.149, 1.190, 8.308]], "species": ["Pu", "Pu", "Pa", "Pa", "Al", "Al"], "frac_coords": [[0.424, 0.424, 0.729], [0.576, 0.576, 0.271], [0.709, 0.709, 0.873], [0.291, 0.291, 0.127], [0.838, 0.838, 0.485], [0.162, 0.162, 0.515]], "sg": "R-3m", "n_ef_per_ev_atom": 1.733, "magnetic_moment_mub_per_cell": 9.38}

---

Most stable: <1> (next structure +0.221 eV/atom)

---

<1>
{"formula": "PuPaAl", "functional": "PBE", "state": "optimized geometry", "lattice": [[4.264, -0.012, 1.218], [-0.053, 4.390, 0.232], [0.323, -0.364, 6.984]], "species": ["Pu", "Pu", "Pa", "Pa", "Al", "Al"], "frac_coords": [[0.530, 0.106, 0.036], [0.014, 0.606, 0.068], [0.863, 0.105, 0.372], [0.682, 0.606, 0.732], [0.350, 0.605, 0.398], [0.195, 0.106, 0.706]], "sg": "P2_1/m", "n_ef_per_ev_atom": 1.533, "magnetic_moment_mub_per_cell": 10.33}

---

<2>
{"formula": "PuPaAl", "functional": "PBE", "state": "optimized geometry", "lattice": [[-1.131, -3.498, 1.380], [2.188, -1.854, 2.682], [-5.237, 3.174, 9.341]], "species": ["Pu", "Pu", "Al", "Al", "Pa", "Pa"], "frac_coords": [[0.674, 0.674, 0.978], [0.326, 0.326, 0.022], [0.853, 0.853, 0.441], [0.147, 0.147, 0.559], [0.748, 0.748, 0.755], [0.252, 0.252, 0.245]], "sg": "R-3m", "n_ef_per_ev_atom": 1.140, "magnetic_moment_mub_per_cell": 0.00}

---

<3>
{"formula": "PuPaAl", "functional": "PBE", "state": "optimized geometry", "lattice": [[-1.213, -3.385, -1.223], [2.853, -0.117, -2.505], [1.866, -0.352, 5.021]], "species": ["Pa", "Al", "Pu"], "frac_coords": [[0.282, 0.282, 0.565], [0.616, 0.616, 0.232], [0.951, 0.951, 0.903]], "sg": "I4mm", "n_ef_per_ev_atom": 1.779, "magnetic_moment_mub_per_cell": 6.51}

---

Most stable: <1> (next structure +0.015 eV/atom)

---

<1>
{"formula": "Pu3PaAl8", "functional": "PBE", "state": "optimized geometry", "lattice": [[-4.257, -1.256, -3.245], [-4.815, -1.454, 2.221], [-5.608, 7.732, -0.293]], "species": ["Pu", "Pu", "Pu", "Pa", "Al", "Al", "Al", "Al", "Al", "Al", "Al", "Al"], "frac_coords": [[0.375, 0.375, 0.876], [0.000, 0.000, 0.000], [0.501, 0.501, 0.498], [0.875, 0.875, 0.375], [0.937, 0.437, 0.189], [0.438, 0.938, 0.686], [0.437, 0.437, 0.189], [0.938, 0.938, 0.686], [0.187, 0.187, 0.438], [0.688, 0.688, 0.937], [0.437, 0.937, 0.189], [0.938, 0.438, 0.686]], "sg": "R3m", "n_ef_per_ev_atom": 1.809, "magnetic_moment_mub_per_cell": 4.88}

---

<2>
{"formula": "Pu3PaAl8", "functional": "PBE", "state": "optimized geometry", "lattice": [[-2.751, 4.861, -0.144], [0.881, -2.567, 4.884], [7.514, 4.280, 0.894]], "species": ["Pu", "Pu", "Pu", "Pa", "Al", "Al", "Al", "Al", "Al", "Al", "Al", "Al"], "frac_coords": [[0.667, 0.333, 0.425], [0.667, 0.333, 0.075], [0.000, 0.000, 0.914], [0.000, 0.000, 0.583], [0.333, 0.667, 0.500], [0.333, 0.667, 0.001], [0.506, 0.013, 0.751], [0.506, 0.494, 0.751], [0.987, 0.494, 0.751], [0.160, 0.320, 0.250], [0.160, 0.840, 0.250], [0.680, 0.840, 0.250]], "sg": "P3m1", "n_ef_per_ev_atom": 2.080, "magnetic_moment_mub_per_cell": 5.69}

---

Most stable: <1> (next structure +0.019 eV/atom)